[1]
Density functional theory data (PBE) for a relaxed structure of Cs2InSn2Cl7.

## Properties
Final energy: -81.8 eV/cell

Lattice parameters (Å, degrees): 7.908 7.909 14.707 90.00 105.33 90.00
Space group C2/m (No. 12)
Unique sites:
Cs1 0.178 0.000 0.362 x4
In1 0.000 0.000 0.000 x2
Sn1 0.098 0.500 0.197 x4
Cl1 0.000 0.500 0.000 x2
Cl2 0.158 0.248 0.814 x8
Cl3 0.202 0.500 0.395 x4

=====

[2]
Density functional theory data (PBE) for a relaxed structure of CsIn2SnCl8.

## Properties
Final energy: -115.4 eV/cell

Lattice parameters (Å, degrees): 6.9986 6.9986 29.8132 90.00 90.00 120.00
Space group R-3 (No. 148, hexagonal axes)
Unique sites:
Cs1 0.0000 0.0000 0.0000 x3
In1 0.0000 0.0000 0.2483 x6
Sn1 0.0000 0.0000 0.5000 x3
Cl1 0.0000 0.0000 0.3302 x6
Cl2 0.0053 0.6801 0.1100 x18

=====

[3]
Density functional theory data (PBE) for a relaxed structure of CsSrInCl4.

## Properties
Final energy: -50.8 eV/cell

Lattice parameters (Å, degrees): 5.675 5.675 17.083 90.00 90.00 90.00
Space group I4mm (No. 107)
Unique sites:
Cs1 0.000 0.000 0.000 x2
Sr1 0.000 0.000 0.359 x2
In1 0.000 0.000 0.700 x2
Cl1 0.000 0.000 0.195 x2
Cl2 0.000 0.000 0.539 x2
Cl3 0.000 0.500 0.371 x4

=====

[4]
Density functional theory data (PBE) for a relaxed structure of CsSrIn2Cl8.

## Properties
Final energy: -121.5 eV/cell

Lattice parameters (Å, degrees): 7.0487 7.0487 29.5517 90.00 90.00 120.00
Space group R-3 (No. 148, hexagonal axes)
Unique sites:
Cs1 0.0000 0.0000 0.0000 x3
Sr1 0.0000 0.0000 0.5000 x3
In1 0.0000 0.0000 0.2465 x6
Cl1 0.0000 0.0000 0.3290 x6
Cl2 0.0035 0.3165 0.1095 x18

=====

[5]
Density functional theory data (PBE) for a relaxed structure of CsSr2InCl8.

## Properties
Final energy: -44.4 eV/cell

Lattice parameters (Å, degrees): 6.587 6.665 9.246 89.95 89.91 89.46
Space group P-1 (No. 2)
Unique sites:
Cs1 0.000 0.000 0.000 x1
Sr1 0.500 0.500 0.255 x2
In1 0.000 0.000 0.500 x1
Cl1 0.225 0.845 0.692 x2
Cl2 0.227 0.846 0.307 x2
Cl3 0.248 0.317 0.500 x2
Cl4 0.265 0.413 0.000 x2

=====

[6]
Density functional theory data (PBE) for a relaxed structure of Cs2TaInCl6.

## Properties
Final energy: -164.9 eV/cell

Lattice parameters (Å, degrees): 11.087 11.087 11.087 90.00 90.00 90.00
Space group Fm-3m (No. 225)
Unique sites:
Cs1 0.250 0.250 0.250 x8
Ta1 0.000 0.000 0.000 x4
In1 0.000 0.000 0.500 x4
Cl1 0.000 0.000 0.224 x24

=====

[7]
Density functional theory data (PBE) for a relaxed structure of Cs2TbInCl6.

## Properties
Final energy: -79.0 eV/cell

Lattice parameters (Å, degrees): 7.938 8.196 13.838 90.00 124.87 90.00
Space group P2_1/c (No. 14)
Unique sites:
Cs1 0.235 0.053 0.250 x4
Tb1 0.500 0.000 0.000 x2
In1 0.000 0.000 0.500 x2
Cl1 0.192 0.186 0.963 x4
Cl2 0.276 0.732 0.958 x4
Cl3 0.348 0.021 0.772 x4

=====

[8]
Density functional theory data (PBE) for a relaxed structure of CsIn2TcCl.

## Properties
Final energy: -14.6 eV/cell

Lattice parameters (Å, degrees): 5.780 5.780 6.148 90.00 90.00 90.00
Space group P4/mmm (No. 123)
Unique sites:
Cs1 0.000 0.000 0.000 x1
In1 0.000 0.500 0.500 x2
Tc1 0.500 0.500 0.000 x1
Cl1 0.000 0.000 0.500 x1